A relaxed ZrFeOs2 crystal, computed with GGA-PBE.

VASP energy (eV/atom): -9.74
Formation energy from the elements (eV/f.u.): 0.5

Unit cell a=3.9552 b=3.9552 c=7.8970 alpha=90.00 beta=90.00 gamma=90.00
Last column: nearest neighbours and their distance in Å.
Space group I4/mmm (No. 139)
Symmetry-distinct sites (fractional):
Zr: 0.0000 0.0000 0.0000 [2 per cell]  8 Os 2.79, 4 Fe 2.80
Fe: 0.0000 0.0000 0.5000 [2 per cell]  8 Os 2.79, 4 Zr 2.80
Os: 0.0000 0.5000 0.2500 [4 per cell]  4 Zr 2.79, 4 Fe 2.79, 4 Os 2.80



A relaxed Pm4Rh2Pb5 crystal, computed with GGA-PBE.

VASP energy (eV/atom): -5.31
Formation energy from the elements (eV/f.u.): -6.1

Unit cell a=8.1469 b=3.7654 c=9.8295 alpha=90.00 beta=93.15 gamma=90.00
Last column: nearest neighbours and their distance in Å.
Space group P2/m (No. 10)
Symmetry-distinct sites (fractional):
Pm: 0.1975 0.0000 0.3417 [2 per cell]  2 Rh 2.88
Pm: 0.2059 0.0000 0.9271 [2 per cell]  4 Rh 3.00-3.05
Rh: 0.0829 0.5000 0.1358 [2 per cell]  6 Pm 2.88-3.05, 1 Rh 2.92, 2 Pb 2.98-3.01
Pb: 0.1396 0.5000 0.6336 [2 per cell]  1 Rh 2.98, 1 Pb 3.28
Pb: 0.4533 0.5000 0.1606 [2 per cell]  1 Rh 3.01, 2 Pb 3.29-3.34
Pb: 0.5000 0.5000 0.5000 [1 per cell]  4 Pb 3.28-3.34, 4 Pm 3.41



A relaxed V2SiRh crystal, computed with GGA-PBE.

VASP energy (eV/atom): -7.70

Unit cell a=6.7918 b=6.7918 c=5.0185 alpha=90.00 beta=90.00 gamma=90.00
Last column: nearest neighbours and their distance in Å.
Space group I-42d (No. 122)
Symmetry-distinct sites (fractional):
V: 0.2500 0.2501 0.3750 [8 per cell]  2 Si 2.48, 2 Rh 2.48, 2 V 2.51
Si: 0.0000 0.0000 0.0000 [4 per cell]  4 V 2.48, 2 Rh 2.51
Rh: 0.0000 0.0000 0.5000 [4 per cell]  4 V 2.48, 2 Si 2.51



A relaxed CoGe3Bi crystal, computed with GGA-PBE.

VASP energy (eV/atom): -3.32
Formation energy from the elements (eV/f.u.): 8.3

Unit cell a=5.4953 b=5.4953 c=5.4953 alpha=90.00 beta=90.00 gamma=90.00
Last column: nearest neighbours and their distance in Å.
Space group Pm-3m (No. 221)
Symmetry-distinct sites (fractional):
Co: 0.0000 0.0000 0.0000 [1 per cell]  12 Ge 3.89
Ge: 0.0000 0.5000 0.5000 [3 per cell]  2 Bi 2.75
Bi: 0.5000 0.5000 0.5000 [1 per cell]  6 Ge 2.75



A relaxed YTlSb2I crystal, computed with GGA-PBE.

VASP energy (eV/atom): -3.32

Unit cell a=5.6066 b=5.6066 c=5.9512 alpha=90.00 beta=90.00 gamma=90.00
Last column: nearest neighbours and their distance in Å.
Space group P4/mmm (No. 123)
Symmetry-distinct sites (fractional):
Y: 0.0000 0.0000 0.0000 [1 per cell]  4 I 3.96, 8 Sb 4.09
Tl: 0.5000 0.5000 0.5000 [1 per cell]  4 Sb 2.80, 2 I 2.98
Sb: 0.0000 0.5000 0.5000 [2 per cell]  2 Tl 2.80
I: 0.5000 0.5000 0.0000 [1 per cell]  2 Tl 2.98



A relaxed TlFe2W crystal, computed with GGA-PBE.

VASP energy (eV/atom): -7.55
Formation energy from the elements (eV/f.u.): 2.1

Unit cell a=3.1261 b=3.1261 c=6.4083 alpha=90.00 beta=90.00 gamma=90.00
Last column: nearest neighbours and their distance in Å.
Space group P4mm (No. 99)
Symmetry-distinct sites (fractional):
Tl: 0.0000 0.0000 0.0000 [1 per cell]  5 Fe 2.86-2.98, 4 W 3.06, 4 Tl 3.13
Fe: 0.0000 0.0000 0.5345 [1 per cell]  4 Fe 2.50, 4 W 2.57
Fe: 0.5000 0.5000 0.7175 [1 per cell]  1 W 2.48, 4 Fe 2.50
W: 0.5000 0.5000 0.3306 [1 per cell]  5 Fe 2.48-2.57



> Which value of VASP energy does entry 5 give?

-3.32 eV/atom



> What is the VASP energy in the fifth record?

-3.32 eV/atom



> What is the formula in the second record?

Pm4Rh2Pb5